NbCoNi PBE optimized geometry; energy relative to the lowest polymorph listed for this composition = 0.158 eV/atom; magnetization = 0.50 μB per cell; formation energy = -0.02 eV per atom
1.0
4.1734 0.0000 0.0000
-2.0867 3.6143 0.0000
0.0000 0.0000 2.6299
Nb Co Ni
1 1 1
direct
0.0000 0.0000 0.0000
0.6667 0.3333 0.3049
0.3333 0.6667 0.6470

=====

NbCo2Ni4 PBE optimized geometry; magnetization = 6.70 μB per cell; formation energy = 0.07 eV per atom
1.0
0.0000 9.4348 2.5082
3.6090 0.0000 2.5082
3.6090 9.4348 0.0000
Nb Co Ni
2 4 8
direct
0.0000 0.0000 0.0000
0.2500 0.2500 0.2500
0.3212 0.6496 0.6236
0.6264 0.8444 0.9288
0.6496 0.3212 0.4056
0.8444 0.6264 0.6004
0.1993 0.3158 0.9956
0.2059 0.7434 0.4817
0.2544 0.7607 0.0507
0.3158 0.1993 0.4893
0.6811 0.7683 0.5066
0.7434 0.2059 0.5689
0.7607 0.2544 0.9342
0.7683 0.6811 0.0441

=====

NbCo2Ni2 PBE optimized geometry; energy relative to the lowest polymorph listed for this composition = 0.000 eV/atom; magnetization = 6.12 μB per cell; formation energy = 0.05 eV per atom
1.0
6.8563 0.0000 0.0000
0.0000 6.8563 0.0000
0.0000 0.0000 2.6241
Nb Co Ni
2 4 4
direct
0.0000 0.0000 0.0000
0.5000 0.5000 0.0000
0.1708 0.3292 0.5000
0.3292 0.8292 0.5000
0.6708 0.1708 0.5000
0.8292 0.6708 0.5000
0.1242 0.6242 0.0000
0.3758 0.1242 0.0000
0.6242 0.8758 0.0000
0.8758 0.3758 0.0000

=====

Nb2CoNi3 PBE optimized geometry; energy relative to the lowest polymorph listed for this composition = 0.100 eV/atom; magnetization = 0.00 μB per cell; formation energy = -0.08 eV per atom
1.0
5.7244 -1.8265 0.0000
5.7244 1.8265 0.0000
-3.9064 0.0000 7.6261
Nb Co Ni
4 2 6
direct
0.0192 0.0192 0.3465
0.2849 0.2849 0.6480
0.7151 0.7151 0.3520
0.9808 0.9808 0.6535
0.3745 0.3745 0.3646
0.6255 0.6255 0.6354
0.1234 0.1234 0.1148
0.2141 0.2141 0.8928
0.4566 0.4566 0.1157
0.5434 0.5434 0.8843
0.7859 0.7859 0.1072
0.8766 0.8766 0.8852

=====

Nb2CoNi PBE optimized geometry; energy relative to the lowest polymorph listed for this composition = 0.028 eV/atom; magnetization = 0.00 μB per cell; formation energy = -0.10 eV per atom
1.0
3.9020 0.0000 0.0000
0.0000 3.9020 0.0000
0.0000 0.0000 3.7676
Nb Co Ni
2 1 1
direct
0.0000 0.5000 0.0000
0.5000 0.0000 0.0000
0.0000 0.0000 0.5000
0.5000 0.5000 0.5000

=====

NbCoNi PBE optimized geometry; energy relative to the lowest polymorph listed for this composition = 0.229 eV/atom; magnetization = 0.00 μB per cell; formation energy = 0.05 eV per atom
1.0
4.7520 0.0000 0.0000
0.0000 3.7012 0.0000
-1.1634 0.0000 4.7827
Nb Co Ni
2 2 2
direct
0.0788 0.2500 0.2684
0.9212 0.7500 0.7316
0.3619 0.7500 0.5739
0.6381 0.2500 0.4261
0.4018 0.7500 0.1008
0.5982 0.2500 0.8992